# 1
DFT (PBE) results for an optimized crystal structure of LaScGa3.

a = 12.8126 Å, b = 12.8126 Å, c = 4.1969 Å
α = 90.00°, β = 90.00°, γ = 160.83°
Last column: nearest neighbours and their distance in Å.
Atoms (fractional coordinates):
La: 0.0771 0.9229 0.7500  12 Ga 3.24-3.44
La: 0.9229 0.0771 0.2500  12 Ga 3.24-3.44
Sc: 0.2047 0.7953 0.2500  7 Ga 2.82-3.04
Sc: 0.7953 0.2047 0.7500  7 Ga 2.82-3.04
Ga: 0.3164 0.6836 0.2500  2 Ga 2.55, 1 Sc 2.82
Ga: 0.3740 0.6260 0.7500  3 Ga 2.55
Ga: 0.4747 0.5253 0.7500  3 Ga 2.46-2.55
Ga: 0.5253 0.4747 0.2500  3 Ga 2.46-2.55
Ga: 0.6260 0.3740 0.2500  3 Ga 2.55
Ga: 0.6836 0.3164 0.7500  2 Ga 2.55, 1 Sc 2.82

* symmetry: Cmcm, No. 63
* Fermi-level density of states: 6.017 states/eV per cell
* energy above the most stable polymorph in this dataset: 0.0000 eV/atom
* formation enthalpy at 0 K: -631 meV per atom

# 2
DFT (PBE) results for an optimized crystal structure of Sr2LaP.

a = 4.8009 Å, b = 4.8009 Å, c = 11.1311 Å
α = 90.00°, β = 90.00°, γ = 90.00°
Last column: nearest neighbours and their distance in Å.
Atoms (fractional coordinates):
Sr: 0.0000 0.0000 0.0000  4 P 3.39, 4 La 3.68, 4 Sr 3.68
Sr: 0.0000 0.5000 0.2500  4 La 3.39, 4 Sr 3.68, 4 P 3.68
Sr: 0.5000 0.0000 0.7500  4 La 3.39, 4 Sr 3.68, 4 P 3.68
Sr: 0.5000 0.5000 0.5000  4 P 3.39, 4 La 3.68, 4 Sr 3.68
La: 0.0000 0.5000 0.7500  8 Sr 3.39-3.68, 4 P 3.68
La: 0.5000 0.0000 0.2500  8 Sr 3.39-3.68, 4 P 3.68
P: 0.0000 0.0000 0.5000  8 Sr 3.39-3.68, 4 La 3.68
P: 0.5000 0.5000 0.0000  8 Sr 3.39-3.68, 4 La 3.68

* symmetry: I-4m2, No. 119
* Fermi-level density of states: 6.322 states/eV per cell
* energy above the most stable polymorph in this dataset: 0.4316 eV/atom
* formation enthalpy at 0 K: -133 meV per atom